First-principles (PBE) data for a relaxed structure of MnIrI3, as listed in Alexandria.

## Properties
Spin magnetization in μB/cell: 5.4
Density of states at the Fermi level in states/eV/f.u.: 2.67
Space group: Pm-3m, No. 221
Final energy in eV/atom: -3.9112

Cell lengths 5.424, 5.424, 5.424 Å; angles 90.00, 90.00, 90.00 degrees
Each line ends with the local moment (μB).
Fractional positions:
I  0.000  0.500  0.000  0.05
I  0.000  0.000  0.500  0.03
I  0.500  0.000  0.000  0.01
Mn  0.500  0.500  0.500  4.66
Ir  0.000  0.000  0.000  -0.06


First-principles (PBE) data for a relaxed structure of HgRuSe3, as listed in Alexandria.

## Properties
Spin magnetization in μB/cell: 0.0
Density of states at the Fermi level in states/eV/f.u.: 7.05
Space group: Pm-3m, No. 221
Final energy in eV/atom: -3.6316

Cell lengths 4.927, 4.927, 4.927 Å; angles 90.00, 90.00, 90.00 degrees
Fractional positions:
Se  0.000  0.500  0.000
Se  0.500  0.000  0.000
Se  0.000  0.000  0.500
Ru  0.000  0.000  0.000
Hg  0.500  0.500  0.500


First-principles (PBE) data for a relaxed structure of RbAlGePb, as listed in Alexandria.

## Properties
Spin magnetization in μB/cell: 0.0
Density of states at the Fermi level in states/eV/f.u.: 1.96
Space group: P4/nmm, No. 129
ΔE_f in meV per atom: -64

Cell lengths 4.320, 4.320, 14.245 Å; angles 90.00, 90.00, 90.00 degrees
Fractional positions:
Rb  0.750  0.750  0.238
Rb  0.250  0.250  0.762
Al  0.750  0.250  0.000
Al  0.250  0.750  0.000
Ge  0.250  0.250  0.108
Ge  0.750  0.750  0.892
Pb  0.250  0.750  0.500
Pb  0.750  0.250  0.500


First-principles (PBE) data for a relaxed structure of TlInSbSe3, as listed in Alexandria.

## Properties
Spin magnetization in μB/cell: 0.0
Density of states at the Fermi level in states/eV/f.u.: 2.39
Space group: P2_1/m, No. 11
Final energy in eV/atom: -3.5850

Cell lengths 4.199, 9.050, 10.448 Å; angles 101.25, 90.00, 90.00 degrees
Fractional positions:
Se  0.250  0.822  0.535
Se  0.250  0.126  0.884
Se  0.750  0.432  0.134
Se  0.750  0.874  0.116
Se  0.750  0.178  0.465
Se  0.250  0.568  0.866
Sb  0.250  0.649  0.134
Sb  0.750  0.351  0.866
In  0.750  0.867  0.380
In  0.250  0.133  0.620
Tl  0.250  0.168  0.194
Tl  0.750  0.832  0.806